This record from OQMD via LeMat-Bulk describes a relaxed RbFeAuSeS2 crystal. The functional is PBE.

```
12
Lattice="1.7451 -8.2570 0.0000 1.7451 8.2570 0.0000 0.0000 0.0000 9.9262" Properties=species:S:1:pos:R:3 pbc="T T T"
Au 1.7451 -6.6886 7.4447
Au 1.7451 6.6886 2.4816
Se 1.7452 0.8224 2.4816
Se 1.7452 -0.8224 7.4447
Rb 1.7452 4.4653 7.4447
Rb 1.7452 -4.4653 2.4816
S 1.7452 6.7213 4.8136
S 1.7452 -6.7213 5.1126
S 1.7452 -6.7213 9.7768
S 1.7452 6.7213 0.1495
Fe 1.7451 0.0000 4.9631
Fe 1.7451 0.0000 0.0000
```

Values from the calculation:
Total energy ... -52.10 eV per cell
Size of the total moment ... 0.284 μB/atom


This record from OQMD via LeMat-Bulk describes a relaxed RbFeAuSe2S crystal. The functional is PBE.

```
12
Lattice="-4.1090 3.7531 5.4657 1.5179 -1.9665 -7.3940 -6.5575 -8.5181 0.9192" Properties=species:S:1:pos:R:3 pbc="T T T"
Se -2.1223 1.2435 0.4712
Se -4.1709 -4.2660 -1.8805
Se -7.0263 -7.9750 -1.4803
Se -4.9776 -2.4656 0.8714
Fe -3.2788 -4.2590 0.4596
Fe 0.0000 0.0000 0.0000
Au -3.1486 -1.0190 -0.2460
Au -6.0000 -5.7125 -0.7631
S -3.7806 -7.9684 -5.8352
S -5.3679 1.2369 4.8261
Rb -1.5362 -2.6579 -3.9309
Rb -7.6123 -4.0736 2.9217
```

Values from the calculation:
Total energy ... -50.19 eV per cell
Size of the total moment ... 0.607 μB/atom


This record from OQMD via LeMat-Bulk describes a relaxed RbFeAuSeS2 crystal. The functional is PBE.

```
12
Lattice="1.7451 -8.2570 0.0000 1.7451 8.2570 0.0000 0.0000 0.0000 9.9262" Properties=species:S:1:pos:R:3 pbc="T T T"
Rb 1.7452 -4.4653 2.4816
Rb 1.7452 4.4653 7.4447
Fe 1.7451 0.0000 4.9631
Fe 1.7451 0.0000 0.0000
Au 1.7451 6.6886 2.4816
Au 1.7451 -6.6886 7.4447
S 1.7452 6.7213 0.1495
S 1.7452 -6.7213 5.1126
S 1.7452 -6.7213 9.7768
S 1.7452 6.7213 4.8136
Se 1.7452 -0.8224 7.4447
Se 1.7452 0.8224 2.4816
```

Values from the calculation:
Total energy ... -52.10 eV per cell
Size of the total moment ... 0.284 μB/atom